DFT (PBE+U) results for Fe2RuF after structural relaxation.

DOS(E_F) in states/eV per cell: 4.18
VASP energy in eV for the cell shown: -20.23
Energy above the lowest structure with this stoichiometry in eV/f.u.: 1.64
Volume in Å³/atom: 13.90
Spin magnetization in μB/f.u.: 8.6

Unit cell a=4.285 b=4.285 c=4.285 alpha=60.00 beta=60.00 gamma=60.00
Fractional coordinates of all 4 atoms:
Fe: 0.250 0.250 0.250
Fe: 0.750 0.750 0.750
Ru: 0.000 0.000 0.000
F: 0.500 0.500 0.500